# 1
! NaFe2HgB (PBE-GGA, optimized geometry); values from VASP
&SYSTEM
  ibrav = 0, nat = 5, ntyp = 4
/
ATOMIC_SPECIES
Na 22.99 Na.upf
B 10.81 B.upf
Hg 200.59 Hg.upf
Fe 55.84 Fe.upf
CELL_PARAMETERS angstrom
-3.419 -0.992 1.868
0.647 -4.424 -1.165
2.038 -0.601 3.413
ATOMIC_POSITIONS angstrom
Na -0.367 -3.008 2.058
B 0.000 0.000 0.000
Hg 0.323 -2.212 -0.583
Fe 1.019 -0.300 1.706
Fe -1.710 -0.496 0.934
! ΔH_f (0 K) in eV per atom: 0.485

# 2
! Na2FeHgB (PBE-GGA, optimized geometry); values from VASP
&SYSTEM
  ibrav = 0, nat = 5, ntyp = 4
/
ATOMIC_SPECIES
Na 22.99 Na.upf
B 10.81 B.upf
Hg 200.59 Hg.upf
Fe 55.84 Fe.upf
CELL_PARAMETERS angstrom
-3.882 3.362 -0.410
-0.207 -0.705 -3.822
-3.376 -3.790 0.882
ATOMIC_POSITIONS angstrom
Na -1.688 -1.895 0.441
Na -1.941 1.681 -0.205
B 0.000 0.000 0.000
Hg -3.732 -0.567 -1.675
Fe -0.104 -0.352 -1.911
! ΔH_f (0 K) in eV per atom: 0.523